No. 1
A relaxed structure of SrLiCuO3, computed with PBE-GGA.

The value obtained for the density of states at the Fermi level is 3.55 states/eV/cell. For the total energy, the calculation gives -62.51 eV for the cell shown. As for the crystal system: monoclinic. The value obtained for the calculated volume is 79.4 Å³/f.u. The value obtained for the uncorrected formation energy is -1.4480 eV per atom.

Geometry as POSCAR:
```
SrLiCuO3
1.0
5.518 -0.275 0.009
2.343 5.003 0.009
2.173 1.307 5.630
Sr Li Cu O
2 2 2 6
Cartesian
7.342 4.416 4.812 Sr
2.692 1.619 0.836 Sr
4.459 3.945 2.824 Li
5.574 2.091 2.824 Li
2.296 1.381 4.157 Cu
7.738 4.655 1.491 Cu
3.605 2.168 3.245 O
4.306 4.644 4.588 O
6.120 1.628 4.588 O
3.913 4.408 1.060 O
5.728 1.392 1.060 O
6.429 3.867 2.403 O
```

No. 2
A relaxed structure of Li2TbCuO4, computed with PBE-GGA.

The value obtained for the density of states at the Fermi level is 8.52 states/eV/cell. For the total energy, the calculation gives -93.14 eV for the cell shown. As for the crystal system: orthorhombic. The value obtained for the calculated volume is 90.1 Å³/f.u. The value obtained for the uncorrected formation energy is -1.7729 eV per atom.

Geometry as POSCAR:
```
Li2TbCuO4
1.0
3.260 0.000 0.000
-1.630 5.726 0.000
0.000 0.000 9.651
Li Tb Cu O
4 2 2 8
Cartesian
0.000 4.602 5.238 Li
1.630 1.124 0.413 Li
1.630 1.124 4.413 Li
0.000 4.602 9.238 Li
0.000 0.787 7.238 Tb
1.630 4.939 2.413 Tb
1.630 3.446 7.238 Cu
0.000 2.280 2.413 Cu
0.000 3.724 1.252 O
1.630 2.002 6.077 O
1.630 2.002 8.399 O
0.000 3.724 3.574 O
0.000 0.000 4.825 O
0.000 0.000 0.000 O
0.000 4.684 7.238 O
1.630 1.042 2.413 O
```